1.
Here is a relaxed TaV2In2 crystal from Alexandria. Energies are from PBE.

The structure in POSCAR format:
```
TaV2In2
1.0
-1.3392 -6.9637 3.3094
-2.8085 -2.6875 -6.7917
2.7001 -0.8837 -0.7668
In V Ta
4 4 2
direct
0.8132 0.3132 0.5000
0.6868 0.8132 0.5000
0.3132 0.1868 0.5000
0.1868 0.6868 0.5000
0.3928 0.8928 0.0000
0.8928 0.6072 0.0000
0.1072 0.3928 0.0000
0.6072 0.1072 0.0000
0.0000 0.0000 0.0000
0.5000 0.5000 0.0000
```

Electronic total energy: -6.659 eV/atom
Crystal system: tetragonal



2.
Here is a relaxed TaV2In crystal from Alexandria. Energies are from PBE.

The structure in POSCAR format:
```
TaV2In
1.0
3.2757 0.0000 0.0000
0.0000 3.2757 0.0000
0.0000 0.0000 6.2466
In Ta V
1 1 2
direct
0.5000 0.5000 0.5000
0.5000 0.5000 0.0000
0.0000 0.0000 0.2203
0.0000 0.0000 0.7797
```

Electronic total energy: -8.167 eV/atom
Crystal system: tetragonal



Across the entries above, DFT formation energy takes the values 0.45; 0.04 eV/atom, respectively.